Density functional theory data (PBE-GGA) for an optimized crystal structure of K2YRh.

The total moment comes out at 0.00 μB/f.u. The calculation puts the relative energy among the computed polymorphs at 500 meV per atom. As for the formation energy: 0.4461 eV per atom.

It has space group Fmmm (No. 69), with a = 5.9012 Å, b = 6.1875 Å, c = 13.0702 Å, α = 90.00°, β = 90.00° and γ = 90.00°. Symmetry generates all atoms from K at (0.0000, 0.2500, 0.2500), Y at (0.0000, 0.0000, 0.0000) and Rh at (0.0000, 0.0000, 0.5000).

---

Density functional theory data (PBE-GGA) for an optimized crystal structure of TbPm4Dy8.

The total moment comes out at 1.24 μB/f.u. As for the formation energy: 0.5126 eV per atom.

It has space group R-3m (No. 166, hexagonal axes), with a = 11.0360 Å, b = 11.0360 Å, c = 13.4868 Å, α = 90.00°, β = 90.00° and γ = 120.00°. Symmetry generates all atoms from Tb at (0.0000, 0.0000, 0.0000), Pm at (0.0000, 0.0000, 0.5000), Pm at (0.0000, 0.5000, 0.5000), Dy at (0.0000, 0.0000, 0.2602) and Dy at (0.0133, 0.5067, 0.2461).

---

Density functional theory data (PBE-GGA) for an optimized crystal structure of Ce7InGe5.

The total moment comes out at 4.75 μB/f.u. As for the formation energy: -0.4809 eV per atom.

It has space group Imm2 (No. 44), with a = 6.0420 Å, b = 10.6744 Å, c = 10.2157 Å, α = 90.00°, β = 90.00° and γ = 90.00°. Symmetry generates all atoms from Ce at (0.0000, 0.0000, 0.0000), Ce at (0.0000, 0.0000, 0.3680), Ce at (0.0000, 0.3211, 0.6880), Ce at (0.0000, 0.3342, 0.2252), Ce at (0.0000, 0.5000, 0.0164), In at (0.0000, 0.0000, 0.6898), Ge at (0.0000, 0.5000, 0.4637) and Ge at (0.2257, 0.2571, 0.9498).

---

Density functional theory data (PBE-GGA) for an optimized crystal structure of ZnCu3Ru.

The total moment comes out at 1.54 μB/f.u. The calculation puts the relative energy among the computed polymorphs at 0 meV per atom. As for the formation energy: 1.0862 eV per atom.

It has space group Pm-3m (No. 221), with a = 4.3196 Å, b = 4.3196 Å, c = 4.3196 Å, α = 90.00°, β = 90.00° and γ = 90.00°. Symmetry generates all atoms from Zn at (0.0000, 0.0000, 0.0000), Cu at (0.0000, 0.0000, 0.5000) and Ru at (0.5000, 0.5000, 0.5000).

---

Density functional theory data (PBE-GGA) for an optimized crystal structure of Zr4WAu.

The total moment comes out at 0.00 μB/f.u. As for the formation energy: 0.5326 eV per atom.

It has space group F-43m (No. 216), with a = 7.9190 Å, b = 7.9190 Å, c = 7.9190 Å, α = 90.00°, β = 90.00° and γ = 90.00°. Symmetry generates all atoms from Zr at (0.1236, 0.1236, 0.3764), W at (0.2500, 0.2500, 0.7500) and Au at (0.0000, 0.0000, 0.0000).

---

Density functional theory data (PBE-GGA) for an optimized crystal structure of AlNi14P.

The total moment comes out at 5.19 μB/f.u. As for the formation energy: -0.1497 eV per atom.

It has space group P4/mmm (No. 123), with a = 5.0272 Å, b = 5.0272 Å, c = 6.9129 Å, α = 90.00°, β = 90.00° and γ = 90.00°. Symmetry generates all atoms from Al at (0.0000, 0.0000, 0.0000), Ni at (0.0000, 0.0000, 0.5000), Ni at (0.0000, 0.5000, 0.0000), Ni at (0.0000, 0.5000, 0.5000), Ni at (0.2538, 0.2538, 0.2480), Ni at (0.5000, 0.5000, 0.5000) and P at (0.5000, 0.5000, 0.0000).